Below is an optimized crystal structure of NaSrCuF6, with properties calculated at the PBE level.

Values from the calculation:
Theoretical density = 3.54 Mg/m³
Formation energy from raw total energies = -23.1 eV per formula unit
Total moment = 0.222 μB per atom

a b c (Å): 5.5239 5.5239 5.1205
angles (deg): 90.00 90.00 120.00
Space group P312 (No. 149)
Symmetry-distinct sites (fractional):
Na 0.0000 0.0000 0.0000 (multiplicity 1)
Sr 0.6667 0.3333 0.5000 (multiplicity 1)
Cu 0.3333 0.6667 0.0000 (multiplicity 1)
F 0.0469 0.3787 0.2163 (multiplicity 6)